No. 1
Ca4PRu: relaxed, PBE-GGA.

Geometry as POSCAR:
```
Ca4PRu
1.0
0.000 4.221 4.221
4.221 0.000 4.221
4.221 4.221 0.000
Ca P Ru
4 1 1
direct
0.125 0.125 0.125
0.125 0.125 0.624
0.125 0.624 0.125
0.624 0.125 0.125
0.750 0.750 0.750
0.500 0.500 0.500
```

Calculated values
Formation energy (meV per atom): 797


No. 2
Mn3P5: relaxed, PBE-GGA.

Geometry as POSCAR:
```
Mn3P5
1.0
7.352 0.000 0.000
-3.676 6.367 0.000
0.000 0.000 4.635
Mn P
6 10
direct
0.000 0.383 0.250
0.000 0.617 0.750
0.383 0.000 0.250
0.383 0.383 0.750
0.617 0.000 0.750
0.617 0.617 0.250
0.000 0.272 0.750
0.000 0.728 0.250
0.272 0.000 0.750
0.272 0.272 0.250
0.333 0.667 0.000
0.333 0.667 0.500
0.667 0.333 0.000
0.667 0.333 0.500
0.728 0.000 0.250
0.728 0.728 0.750
```

Calculated values
Formation energy (meV per atom): 63
Energy above the lowest structure with this stoichiometry (meV/atom): 64


No. 3
Cs3U2IO9: relaxed, PBE-GGA.

Geometry as POSCAR:
```
Cs3U2IO9
1.0
6.312 0.000 0.000
-3.156 5.466 0.000
0.000 0.000 7.959
Cs U I O
3 2 1 9
direct
0.000 0.000 0.000
0.333 0.667 0.651
0.667 0.333 0.349
0.333 0.667 0.154
0.667 0.333 0.846
0.000 0.000 0.500
0.000 0.500 0.000
0.181 0.362 0.300
0.181 0.819 0.300
0.362 0.181 0.700
0.500 0.000 0.000
0.500 0.500 0.000
0.638 0.819 0.300
0.819 0.181 0.700
0.819 0.638 0.700
```

Calculated values
Formation energy without anion corrections (eV/atom): -2.0838


No. 4
Tl2CdHg4: relaxed, PBE-GGA.

Geometry as POSCAR:
```
Tl2CdHg4
1.0
9.888 0.000 0.000
0.000 12.411 0.000
0.000 0.000 3.448
Tl Cd Hg
4 2 8
direct
0.250 0.250 0.000
0.250 0.750 0.000
0.750 0.250 0.000
0.750 0.750 0.000
0.000 0.000 0.500
0.500 0.500 0.500
0.000 0.359 0.500
0.000 0.641 0.500
0.239 0.500 0.000
0.261 0.000 0.000
0.500 0.141 0.500
0.500 0.859 0.500
0.739 0.000 0.000
0.761 0.500 0.000
```

Calculated values
Formation energy (meV per atom): 63
Energy above the lowest structure with this stoichiometry (meV/atom): 43


No. 5
LiCu4: relaxed, PBE-GGA.

Geometry as POSCAR:
```
LiCu4
1.0
4.037 0.000 0.000
0.000 4.037 0.000
0.000 0.000 4.037
Li Cu
1 4
direct
0.000 0.000 0.000
0.000 0.000 0.500
0.000 0.500 0.000
0.500 0.000 0.000
0.500 0.500 0.500
```

Calculated values
Formation energy (meV per atom): 709
Energy above the lowest structure with this stoichiometry (meV/atom): 746


No. 6
Li2IrW: relaxed, PBE-GGA.

Geometry as POSCAR:
```
Li2IrW
1.0
2.809 0.000 0.000
0.000 4.444 0.000
0.000 0.000 9.519
Li Ir W
4 2 2
direct
0.000 0.000 0.236
0.000 0.000 0.764
0.500 0.500 0.264
0.500 0.500 0.736
0.000 0.500 0.500
0.500 0.000 0.000
0.000 0.500 0.000
0.500 0.000 0.500
```

Calculated values
Formation energy (meV per atom): 97


No. 7
Dy2InTeO8: relaxed, PBE-GGA.

Geometry as POSCAR:
```
Dy2InTeO8
1.0
3.470 -3.601 0.000
3.470 3.601 0.000
0.000 0.000 6.823
Dy In Te O
2 1 1 8
direct
0.000 0.000 0.248
0.000 0.000 0.752
0.500 0.500 0.000
0.500 0.500 0.500
0.202 0.202 0.000
0.221 0.221 0.500
0.317 0.683 0.287
0.317 0.683 0.713
0.683 0.317 0.287
0.683 0.317 0.713
0.779 0.779 0.500
0.798 0.798 0.000
```

Calculated values
Formation energy without anion corrections (eV/atom): -2.0855


No. 8
LiTh2Zn3: relaxed, PBE-GGA.

Geometry as POSCAR:
```
LiTh2Zn3
1.0
3.532 0.000 0.000
0.000 4.801 0.000
0.000 0.000 15.846
Li Th Zn
2 4 6
direct
0.000 0.000 0.000
0.500 0.500 0.500
0.000 0.000 0.393
0.000 0.500 0.677
0.500 0.000 0.177
0.500 0.500 0.893
0.000 0.000 0.839
0.000 0.500 0.069
0.000 0.500 0.231
0.500 0.000 0.569
0.500 0.000 0.731
0.500 0.500 0.339
```

Calculated values
Formation energy (meV per atom): -102
Energy above the lowest structure with this stoichiometry (meV/atom): 56


No. 9
SrBS2: relaxed, PBE-GGA.

Geometry as POSCAR:
```
SrBS2
1.0
6.456 0.000 0.000
0.000 6.456 0.000
0.000 0.000 7.073
Sr B S
4 4 8
direct
0.000 0.000 0.000
0.000 0.500 0.250
0.500 0.000 0.750
0.500 0.500 0.500
0.000 0.000 0.500
0.000 0.500 0.750
0.500 0.000 0.250
0.500 0.500 0.000
0.123 0.750 0.625
0.250 0.123 0.375
0.250 0.377 0.875
0.377 0.750 0.125
0.623 0.250 0.125
0.750 0.623 0.875
0.750 0.877 0.375
0.877 0.250 0.625
```

Calculated values
Formation energy without anion corrections (eV/atom): -0.5625


No. 10
Nd3ErSc3: relaxed, PBE-GGA.

Geometry as POSCAR:
```
Nd3ErSc3
1.0
9.357 0.000 0.000
-4.679 8.104 0.000
0.000 0.000 5.543
Nd Er Sc
6 2 6
direct
0.095 0.463 0.250
0.369 0.905 0.250
0.463 0.369 0.750
0.537 0.631 0.250
0.631 0.095 0.750
0.905 0.537 0.750
0.333 0.667 0.750
0.667 0.333 0.250
0.043 0.224 0.750
0.181 0.957 0.750
0.224 0.181 0.250
0.776 0.819 0.750
0.819 0.043 0.250
0.957 0.776 0.250
```

Calculated values
Formation energy (meV per atom): 58
Energy above the lowest structure with this stoichiometry (meV/atom): 0


No. 11
TbDy2Y6Tm3: relaxed, PBE-GGA.

Geometry as POSCAR:
```
TbDy2Y6Tm3
1.0
3.071 -5.313 0.000
3.071 5.313 0.000
-2.040 0.000 11.574
Tb Dy Y Tm
1 2 6 3
direct
0.000 0.000 0.000
0.333 0.667 0.000
0.667 0.333 0.000
0.084 0.417 0.251
0.249 0.249 0.748
0.417 0.084 0.251
0.583 0.916 0.749
0.751 0.751 0.252
0.916 0.583 0.749
0.167 0.833 0.500
0.500 0.500 0.500
0.833 0.167 0.500
```

Calculated values
Formation energy (meV per atom): 25


No. 12
ZrPaNbN3: relaxed, PBE-GGA.

Geometry as POSCAR:
```
ZrPaNbN3
1.0
6.952 0.000 0.000
0.000 3.170 0.000
-0.479 0.000 8.122
Zr Pa Nb N
2 2 2 6
direct
0.130 0.250 0.140
0.870 0.750 0.860
0.357 0.750 0.827
0.643 0.250 0.173
0.349 0.750 0.421
0.651 0.250 0.579
0.107 0.250 0.871
0.344 0.250 0.602
0.365 0.750 0.134
0.635 0.250 0.866
0.656 0.750 0.398
0.893 0.750 0.129
```

Calculated values
Formation energy without anion corrections (eV/atom): -1.2476